[1]
7
Lattice="-3.119 3.119 3.119 3.119 -3.119 3.119 3.119 3.119 -3.119" Properties=species:S:1:pos:R:3 comment="YCr6 (PBE, optimized geometry)" spacegroup="Im-3m, No. 229" ef_mev_per_atom=1241 pbc="T T T"
Y 0.000 0.000 0.000
Cr 3.119 1.560 0.000
Cr 3.119 0.000 1.560
Cr 1.560 3.119 0.000
Cr 1.560 0.000 3.119
Cr 0.000 3.119 1.560
Cr 0.000 1.560 3.119

[2]
4
Lattice="0.000 3.668 3.668 3.668 0.000 3.668 3.668 3.668 0.000" Properties=species:S:1:pos:R:3 comment="NdHgBiPd (PBE, optimized geometry)" spacegroup="F-43m, No. 216" ef_mev_per_atom=-520 pbc="T T T"
Nd 0.000 0.000 0.000
Hg 5.501 5.501 5.501
Bi 3.668 3.668 3.668
Pd 1.834 1.834 1.834

[3]
8
Lattice="2.269 -6.738 0.000 2.269 6.738 0.000 0.000 0.000 6.769" Properties=species:S:1:pos:R:3 comment="AcCeSi2 (PBE, optimized geometry)" formation_energy_uncorrected_mev_per_atom=-591 spacegroup="Cmcm, No. 63" pbc="T T T"
Ac 2.269 6.011 5.076
Ac 2.269 -6.011 1.692
Ce 2.269 3.663 1.692
Ce 2.269 -3.663 5.076
Si 2.269 1.471 3.860
Si 2.269 1.471 6.293
Si 2.269 -1.471 0.476
Si 2.269 -1.471 2.908